LaTaRh2 after structural relaxation, computed with PBE-GGA.

Results
**DFT formation energy**: -520 meV per atom
**Space-group type**: P4/mmm
**VASP energy**: -8.3903 eV per atom

```
LaTaRh2
1.0
3.2066 0.0000 0.0000
0.0000 3.2066 0.0000
0.0000 0.0000 7.5839
La Ta Rh
1 1 2
Cartesian
0.0000 0.0000 0.0000 La
0.0000 0.0000 3.7920 Ta
1.6033 1.6033 2.3272 Rh
1.6033 1.6033 5.2567 Rh
```